1.
The following is a PBE-GGA calculation of an optimized crystal structure of YTi2Pt, from the Alexandria database.

## Properties
The calculation puts the formation energy at -0.398 eV per atom. As for the space group: No. 1.

Cell and atoms, written as CIF:
```
data_YTi2Pt
_chemical_formula_sum 'Y2 Ti4 Pt2'
_cell_length_a 5.592
_cell_length_b 5.623
_cell_length_c 5.802
_cell_angle_alpha 74.06
_cell_angle_beta 75.55
_cell_angle_gamma 68.37
_symmetry_space_group_name_H-M 'P 1'
_symmetry_Int_Tables_number 1
loop_
_symmetry_equiv_pos_as_xyz
'x,y,z'
loop_
_atom_site_label
_atom_site_type_symbol
_atom_site_fract_x
_atom_site_fract_y
_atom_site_fract_z
_atom_site_occupancy
Y1 Y 0.001 0.901 0.866 1
Pt1 Pt 0.528 0.923 0.697 1
Ti1 Ti 0.508 0.472 0.606 1
Ti2 Ti 0.438 0.963 0.236 1
Y2 Y 0.053 0.481 0.432 1
Ti3 Ti 0.626 0.494 0.060 1
Ti4 Ti 0.853 0.073 0.355 1
Pt2 Pt 0.147 0.327 0.957 1
```

=====

2.
The following is a PBE-GGA calculation of an optimized crystal structure of HoPuSeO2, from the Alexandria database.

## Properties
The value obtained for the raw formation energy is -2.784 eV/atom. As for the space group: No. 107.

Cell and atoms, written as CIF:
```
data_HoPuSeO2
_chemical_formula_sum 'Ho1 Pu1 Se1 O2'
_cell_length_a 3.832
_cell_length_b 3.832
_cell_length_c 6.686
_cell_angle_alpha 106.65
_cell_angle_beta 106.65
_cell_angle_gamma 90.00
_symmetry_space_group_name_H-M 'P 1'
_symmetry_Int_Tables_number 1
loop_
_symmetry_equiv_pos_as_xyz
'x,y,z'
loop_
_atom_site_label
_atom_site_type_symbol
_atom_site_fract_x
_atom_site_fract_y
_atom_site_fract_z
_atom_site_occupancy
Se1 Se 0.500 0.500 0.001 1
O1 O 0.253 0.753 0.507 1
Pu1 Pu 0.148 0.148 0.296 1
Ho1 Ho 0.844 0.844 0.689 1
O2 O 0.753 0.253 0.507 1
```

=====

3.
The following is a PBE-GGA calculation of an optimized crystal structure of TaIn2TcGe, from the Alexandria database.

## Properties
The calculation puts the formation energy at 1.200 eV per atom. As for the space group: No. 123.

Cell and atoms, written as CIF:
```
data_TaIn2TcGe
_chemical_formula_sum 'Ta1 In2 Tc1 Ge1'
_cell_length_a 5.449
_cell_length_b 4.656
_cell_length_c 5.449
_cell_angle_alpha 90.00
_cell_angle_beta 90.00
_cell_angle_gamma 90.00
_symmetry_space_group_name_H-M 'P 1'
_symmetry_Int_Tables_number 1
loop_
_symmetry_equiv_pos_as_xyz
'x,y,z'
loop_
_atom_site_label
_atom_site_type_symbol
_atom_site_fract_x
_atom_site_fract_y
_atom_site_fract_z
_atom_site_occupancy
Tc1 Tc 0.000 0.500 0.000 1
In1 In 0.500 0.000 0.000 1
Ta1 Ta 0.000 0.000 0.000 1
Ge1 Ge 0.500 0.500 0.500 1
In2 In 0.000 0.000 0.500 1
```

=====

4.
The following is a PBE-GGA calculation of an optimized crystal structure of PuAlCd, from the Alexandria database.

## Properties
The calculation puts the formation energy at -0.142 eV per atom. As for the space group: No. 187.

Cell and atoms, written as CIF:
```
data_PuAlCd
_chemical_formula_sum 'Pu1 Al1 Cd1'
_cell_length_a 3.087
_cell_length_b 4.971
_cell_length_c 4.971
_cell_angle_alpha 120.00
_cell_angle_beta 90.00
_cell_angle_gamma 90.00
_symmetry_space_group_name_H-M 'P 1'
_symmetry_Int_Tables_number 1
loop_
_symmetry_equiv_pos_as_xyz
'x,y,z'
loop_
_atom_site_label
_atom_site_type_symbol
_atom_site_fract_x
_atom_site_fract_y
_atom_site_fract_z
_atom_site_occupancy
Al1 Al 0.167 0.667 0.333 1
Pu1 Pu 0.667 0.333 0.667 1
Cd1 Cd 0.167 0.000 0.000 1
```